1.
A relaxed structure of Ho2Sc2Pb2S. Source: Alexandria, functional PBE-GGA.

a b c (Å): 4.768 4.768 8.676
angles (deg): 105.95 105.95 90.00
Sites, in units of the cell vectors:
S 0.000 0.000 0.000
Ho 0.833 0.833 0.666
Sc 0.500 0.000 0.000
Ho 0.167 0.167 0.334
Sc 0.000 0.500 0.000
Pb 0.364 0.364 0.728
Pb 0.636 0.636 0.272

Output
Crystal system: tetragonal
Space group: I4/mmm (139)



2.
A relaxed structure of Ho4Pb2SeS. Source: Alexandria, functional PBE-GGA.

a b c (Å): 3.919 8.133 6.765
angles (deg): 73.85 90.00 90.00
Sites, in units of the cell vectors:
Pb 0.500 0.000 0.500
Se 0.000 0.500 0.500
Ho 0.500 0.291 0.746
Pb 0.000 0.000 0.000
Ho 0.500 0.709 0.254
Ho 0.000 0.298 0.225
Ho 0.000 0.702 0.775
S 0.500 0.500 0.000

Output
Crystal system: monoclinic
Space group: P2/m (10)



3.
A relaxed structure of Ho6Si2PbS3. Source: Alexandria, functional PBE-GGA.

a b c (Å): 4.027 8.224 9.115
angles (deg): 103.74 102.76 90.00
Sites, in units of the cell vectors:
Ho 0.000 0.728 0.000
Si 0.165 0.332 0.331
Pb 0.500 0.000 0.000
Ho 0.674 0.092 0.349
Ho 0.330 0.421 0.660
S 0.167 0.831 0.333
S 0.833 0.169 0.667
Si 0.835 0.668 0.669
Ho 0.000 0.272 0.000
Ho 0.670 0.579 0.340
S 0.500 0.500 0.000
Ho 0.326 0.908 0.651

Output
Crystal system: monoclinic
Space group: C2/m (12)



4.
A relaxed structure of SrHo4PbS8. Source: Alexandria, functional PBE-GGA.

a b c (Å): 8.166 8.166 8.314
angles (deg): 60.58 60.58 60.00
Sites, in units of the cell vectors:
S 0.791 0.247 0.716
Ho 0.623 0.623 0.131
Sr 0.374 0.374 0.878
S 0.744 0.744 0.277
Ho 0.002 0.495 0.501
S 0.744 0.234 0.277
S 0.757 0.757 0.730
S 0.247 0.791 0.716
Ho 0.002 0.002 0.501
Pb 0.005 0.005 0.986
S 0.234 0.744 0.277
S 0.247 0.247 0.716
Ho 0.495 0.002 0.501
S 0.235 0.235 0.294

Output
Crystal system: trigonal
Space group: R3m (160)



5.
A relaxed structure of TbHoPbS. Source: Alexandria, functional PBE-GGA.

a b c (Å): 3.792 3.789 8.434
angles (deg): 90.04 103.06 119.71
Sites, in units of the cell vectors:
Tb 0.340 0.568 0.921
S 0.137 0.967 0.118
Pb 0.468 0.131 0.617
Ho 0.933 0.365 0.313

Output
Crystal system: triclinic
Space group: P1 (1)



6.
A relaxed structure of Ho3TePbS. Source: Alexandria, functional PBE-GGA.

a b c (Å): 4.239 8.865 10.172
angles (deg): 92.11 90.00 90.00
Sites, in units of the cell vectors:
Ho 0.750 0.870 0.140
Te 0.250 0.620 0.182
Te 0.750 0.380 0.818
Ho 0.250 0.130 0.860
Ho 0.250 0.621 0.885
Ho 0.750 0.379 0.115
Ho 0.750 0.141 0.418
Ho 0.250 0.859 0.582
Pb 0.750 0.865 0.819
S 0.250 0.156 0.579
S 0.750 0.844 0.421
Pb 0.250 0.135 0.181

Output
Crystal system: monoclinic
Space group: P2_1/m (11)



7.
A relaxed structure of Ho4Te2PbS. Source: Alexandria, functional PBE-GGA.

a b c (Å): 4.241 7.349 7.459
angles (deg): 109.15 90.00 90.00
Sites, in units of the cell vectors:
Ho 0.000 0.724 0.218
Ho 0.000 0.276 0.782
Te 0.000 0.500 0.500
S 0.500 0.500 0.000
Ho 0.500 0.740 0.769
Pb 0.000 0.000 0.000
Ho 0.500 0.260 0.231
Te 0.500 0.000 0.500

Output
Crystal system: monoclinic
Space group: P2/m (10)



8.
A relaxed structure of HoTmPbS. Source: Alexandria, functional PBE-GGA.

a b c (Å): 3.749 3.748 8.394
angles (deg): 90.00 102.94 119.99
Sites, in units of the cell vectors:
S 0.137 0.966 0.118
Tm 0.932 0.364 0.312
Ho 0.340 0.568 0.922
Pb 0.469 0.132 0.617

Output
Crystal system: trigonal
Space group: R3m (160)



The following E_form (uncorrected) values (in meV per atom) correspond, in order, to the records above: -842 -1125 -1279 -1789 -1215 -1087 -1232 -1188.